A geometry-optimized Sr3Li4Ca4 structure, computed with GGA-PBE.

It has space group I-43m (No. 217), with a = 9.7499 Å, b = 9.7499 Å, c = 9.7499 Å, α = 90.00°, β = 90.00° and γ = 90.00°. The inequivalent atoms are Sr at (0.0000, 0.0000, 0.5000), Li at (0.1845, 0.1845, 0.8155) and Ca at (0.1379, 0.1379, 0.1379).

Its density of states at the Fermi level is 0.94 states/eV per atom. The mass density comes out at 1.62 Mg/m³. As for the formation energy: 201 meV/atom.

=====

A geometry-optimized AsCF2 structure, computed with GGA-PBE.

It has space group R-3m (No. 166, hexagonal axes), with a = 2.7724 Å, b = 2.7724 Å, c = 23.0981 Å, α = 90.00°, β = 90.00° and γ = 120.00°. The inequivalent atoms are As at (0.0000, 0.0000, 0.0000), C at (0.0000, 0.0000, 0.5000) and F at (0.0000, 0.0000, 0.0831).

Its density of states at the Fermi level is 0.34 states/eV per atom. The mass density comes out at 4.05 Mg/m³. For the uncorrected formation energy, the calculation gives 238.5 kJ/mol of formula units.

=====

A geometry-optimized Fe2Mo structure, computed with GGA-PBE.

It has space group Cmcm (No. 63), with a = 2.5972 Å, b = 13.6312 Å, c = 4.2218 Å, α = 90.00°, β = 90.00° and γ = 90.00°. The inequivalent atoms are Fe at (0.0000, 0.0584, 0.2500), Fe at (0.0000, 0.2819, 0.7500) and Mo at (0.0000, 0.3909, 0.2500).

Its density of states at the Fermi level is 1.27 states/eV per atom. The mass density comes out at 9.23 Mg/m³. As for the formation energy: 167 meV/atom.

=====

A geometry-optimized SiOs2Pt structure, computed with GGA-PBE.

It has space group R-3m (No. 166, hexagonal axes), with a = 2.7904 Å, b = 2.7904 Å, c = 25.2937 Å, α = 90.00°, β = 90.00° and γ = 120.00°. The inequivalent atoms are Si at (0.0000, 0.0000, 0.0000), Os at (0.0000, 0.0000, 0.2580) and Pt at (0.0000, 0.0000, 0.5000).

Its density of states at the Fermi level is 1.44 states/eV per atom. The mass density comes out at 17.63 Mg/m³. For the uncorrected formation energy, the calculation gives 5.9 kJ/mol of formula units.

=====

A geometry-optimized Li2Tm3Pd3 structure, computed with GGA-PBE.

It has space group P6_3/mcm (No. 193), with a = 8.2684 Å, b = 8.2684 Å, c = 5.4571 Å, α = 90.00°, β = 90.00° and γ = 120.00°. The inequivalent atoms are Li at (0.3333, 0.6667, 0.0000), Tm at (0.0000, 0.2595, 0.2500) and Pd at (0.0000, 0.3948, 0.7500).

Its density of states at the Fermi level is 0.55 states/eV per atom. The mass density comes out at 8.63 Mg/m³. As for the formation energy: -678 meV/atom.

=====

A geometry-optimized MnAg3 structure, computed with GGA-PBE.

It has space group C2/m (No. 12), with a = 9.5657 Å, b = 2.9830 Å, c = 4.9635 Å, α = 90.00°, β = 101.73° and γ = 90.00°. The inequivalent atoms are Mn at (0.0000, 0.0000, 0.0000), Ag at (0.0000, 0.5000, 0.5000) and Ag at (0.2459, 0.5000, 0.2449).

Its density of states at the Fermi level is 0.47 states/eV per atom. The mass density comes out at 9.07 Mg/m³. As for the formation energy: 190 meV/atom.

=====

- mass density of number 5 (Li2Tm3Pd3)?
  8.63 Mg/m³

=====

Copy entry 5 word for word.
A geometry-optimized Li2Tm3Pd3 structure, computed with GGA-PBE.

It has space group P6_3/mcm (No. 193), with a = 8.2684 Å, b = 8.2684 Å, c = 5.4571 Å, α = 90.00°, β = 90.00° and γ = 120.00°. The inequivalent atoms are Li at (0.3333, 0.6667, 0.0000), Tm at (0.0000, 0.2595, 0.2500) and Pd at (0.0000, 0.3948, 0.7500).

Its density of states at the Fermi level is 0.55 states/eV per atom. The mass density comes out at 8.63 Mg/m³. As for the formation energy: -678 meV/atom.

=====

- Look up the mass density of the fifth one.
  8.63 Mg/m³